The following is a GGA-PBEsol calculation of a geometry-optimized SrTa4Cd structure, from Alexandria.

```
6
Lattice="-3.8555 3.3753 -2.3763 -4.4771 1.7147 2.9866 -0.4148 5.3945 1.6223" Properties=species:S:1:pos:R:3 pbc="T T T"
Cd -6.5606 7.8634 1.6744
Sr 0.0000 0.0000 0.0000
Ta -3.2569 3.9037 0.8313
Ta -3.4688 6.6585 1.6597
Ta -5.2259 5.6274 -0.3822
Ta -5.5433 4.7794 2.3564
```

Results
Spin magnetization (μB per formula unit): 0.00
Energy relative to the elements (kJ/mol of formula units): 373.1


The following is a GGA-PBEsol calculation of a geometry-optimized Cs2NaPrCl6 structure, from Alexandria.

```
10
Lattice="7.6830 0.0000 0.0000 3.8415 6.6537 0.0000 3.8415 2.2179 6.2732" Properties=species:S:1:pos:R:3 pbc="T T T"
Pr 0.0000 0.0000 0.0000
Cs 11.5245 6.6537 4.7049
Cs 3.8415 2.2179 1.5683
Na 7.6830 4.4358 3.1366
Cl 9.6040 5.5449 1.5681
Cl 5.7620 5.5449 1.5681
Cl 5.7620 3.3267 4.7050
Cl 9.6040 3.3267 4.7050
Cl 7.6830 2.2176 1.5681
Cl 7.6830 6.6539 4.7050
```

Results
Spin magnetization (μB per formula unit): 0.00
Energy relative to the elements, uncorrected (eV per atom): -2.096


The following is a GGA-PBEsol calculation of a geometry-optimized Tl4CdSi structure, from Alexandria.

```
6
Lattice="6.1815 0.0000 0.0000 3.0908 5.3533 0.0000 3.0908 1.7844 5.0472" Properties=species:S:1:pos:R:3 pbc="T T T"
Cd 9.2723 5.3533 3.7854
Si 0.0000 0.0000 0.0000
Tl 4.6336 2.6752 1.8917
Tl 6.1815 3.5689 4.4194
Tl 7.7295 2.6752 1.8917
Tl 6.1815 5.3563 1.8917
```

Results
Spin magnetization (μB per formula unit): 0.00
Energy relative to the elements, uncorrected (eV per atom): 0.477


The following is a GGA-PBEsol calculation of a geometry-optimized U2As3Se structure, from Alexandria.

```
6
Lattice="3.9099 0.0000 0.0000 0.0000 3.9099 0.0000 0.0000 0.0000 8.0303" Properties=species:S:1:pos:R:3 pbc="T T T"
As 1.9550 0.0000 0.0091
As 0.0000 1.9550 0.0091
As 1.9550 1.9550 2.8712
U 1.9550 1.9550 5.7687
U 0.0000 0.0000 2.2608
Se 0.0000 0.0000 5.1417
```

Results
Spin magnetization (μB per formula unit): 3.61
Energy relative to the elements, uncorrected (eV per atom): -0.762


The following is a GGA-PBEsol calculation of a geometry-optimized Sr2SbMo structure, from Alexandria.

```
4
Lattice="-0.4938 -1.4894 -4.0217 3.4702 -3.3111 0.8002 -5.9133 -2.2500 1.5593" Properties=species:S:1:pos:R:3 pbc="T T T"
Mo 0.1163 -3.1686 1.1592
Sb 0.9834 -2.8721 -1.3741
Sr -2.2737 -5.4026 2.2800
Sr -2.4814 -2.8334 -0.9630
```

Results
Spin magnetization (μB per formula unit): 2.61
Energy relative to the elements, uncorrected (eV per atom): 0.198


The following is a GGA-PBEsol calculation of a geometry-optimized LiSN2F structure, from Alexandria.

```
5
Lattice="3.2671 0.0000 0.0000 0.0000 3.2671 0.0000 0.0000 0.0000 5.2921" Properties=species:S:1:pos:R:3 pbc="T T T"
S 0.0000 0.0000 0.0000
N 0.0000 1.6335 0.0000
N 1.6335 0.0000 0.0000
Li 1.6335 1.6335 2.6460
F 0.0000 0.0000 2.6460
```

Results
Spin magnetization (μB per formula unit): 0.00
Energy relative to the elements, uncorrected (eV per atom): 0.123
Excess energy over the best structure of this formula in the dataset (eV/atom): 0.000


The following is a GGA-PBEsol calculation of a geometry-optimized DySnRh structure, from Alexandria.

```
9
Lattice="3.7399 0.0000 0.0000 0.0000 7.4924 0.0000 0.0000 -3.7462 6.4886" Properties=species:S:1:pos:R:3 pbc="T T T"
Rh 1.8700 0.0000 4.3257
Rh 1.8700 3.7462 2.1629
Rh 0.0000 0.0000 0.0000
Sn 1.8700 -2.7612 4.7825
Sn 1.8700 0.9850 1.7061
Sn 1.8700 5.5224 0.0000
Dy 0.0000 2.2258 3.8551
Dy 0.0000 -1.5204 2.6335
Dy 0.0000 3.0409 0.0000
```

Results
Spin magnetization (μB per formula unit): 0.00
Energy relative to the elements (kJ/mol of formula units): -267.4


The following is a GGA-PBEsol calculation of a geometry-optimized LaAs2Os structure, from Alexandria.

```
4
Lattice="3.1821 0.0000 0.0000 0.0000 3.8515 0.0000 -1.5910 -1.9258 6.6425" Properties=species:S:1:pos:R:3 pbc="T T T"
As 1.5910 1.9258 5.7339
As 1.5910 0.0000 3.0000
Os 0.0000 1.9258 3.8541
La 1.5910 1.9258 0.6971
```

Results
Spin magnetization (μB per formula unit): 0.00
Energy relative to the elements (kJ/mol of formula units): -117.9
Excess energy over the best structure of this formula in the dataset (eV/atom): 0.208


The following is a GGA-PBEsol calculation of a geometry-optimized HgAs2Pb structure, from Alexandria.

```
4
Lattice="-0.7796 -0.5622 -3.4575 -4.7686 -1.8891 1.3824 0.8712 5.7990 0.7229" Properties=species:S:1:pos:R:3 pbc="T T T"
Pb -3.3198 1.3036 0.5365
As -0.1958 0.4706 -0.0324
As -1.2616 1.8142 -1.8729
Hg -1.8027 4.3325 -0.2981
```

Results
Spin magnetization (μB per formula unit): 0.00
Energy relative to the elements (kJ/mol of formula units): 39.0
Excess energy over the best structure of this formula in the dataset (eV/atom): 0.050


The following is a GGA-PBEsol calculation of a geometry-optimized Zr2PbSe structure, from Alexandria.

```
4
Lattice="-2.3283 1.3627 1.8930 0.0285 -2.6580 1.9484 5.3489 3.1942 4.2794" Properties=species:S:1:pos:R:3 pbc="T T T"
Pb -1.1499 -0.6476 1.9207
Se 1.5245 0.9495 4.0604
Zr 3.8181 2.2801 3.0547
Zr 1.5308 0.9141 1.2247
```

Results
Spin magnetization (μB per formula unit): 0.00
Energy relative to the elements, uncorrected (eV per atom): -0.719
Excess energy over the best structure of this formula in the dataset (eV/atom): 0.000


The following is a GGA-PBEsol calculation of a geometry-optimized BeAg2Rh structure, from Alexandria.

```
4
Lattice="-2.4224 -1.3323 0.1236 0.7209 -0.9514 3.8745 -1.1171 4.7874 1.3834" Properties=species:S:1:pos:R:3 pbc="T T T"
Be -0.8507 -1.1418 1.9991
Rh -1.4093 1.2518 2.6908
Ag -1.1356 3.5130 1.0739
Ag -2.4039 -0.0579 0.4331
```

Results
Spin magnetization (μB per formula unit): 0.00
Energy relative to the elements (kJ/mol of formula units): 78.1


The following is a GGA-PBEsol calculation of a geometry-optimized Na3SbRu structure, from Alexandria.

```
5
Lattice="-1.0107 -3.5814 -3.7341 3.7797 2.0870 -3.0248 3.5332 -3.2572 2.1676" Properties=species:S:1:pos:R:3 pbc="T T T"
Sb 3.1511 -2.3758 -2.2956
Na 1.8899 1.0435 -1.5124
Na 1.7666 -1.6286 1.0838
Na -0.5054 -1.7907 -1.8670
Ru 0.0000 0.0000 0.0000
```

Results
Spin magnetization (μB per formula unit): 2.69
Energy relative to the elements, uncorrected (eV per atom): 1.167


The following is a GGA-PBEsol calculation of a geometry-optimized Sr2FeAs structure, from Alexandria.

```
4
Lattice="-0.4438 4.3227 -0.8227 -1.9987 0.5387 3.9083 5.8117 -1.5360 0.6815" Properties=species:S:1:pos:R:3 pbc="T T T"
As -1.2212 2.4307 1.5428
Fe 1.2959 0.7167 3.0663
Sr 0.0000 0.0000 0.0000
Sr 2.0733 2.6087 0.7008
```

Results
Spin magnetization (μB per formula unit): 2.67
Energy relative to the elements (kJ/mol of formula units): 43.3


The following is a GGA-PBEsol calculation of a geometry-optimized Ag4RuPb structure, from Alexandria.

```
6
Lattice="-1.2477 2.4911 -4.5763 -4.6866 -0.9928 -2.3989 -3.8292 3.7469 -0.0527" Properties=species:S:1:pos:R:3 pbc="T T T"
Ag -3.6561 1.9641 -2.6317
Ag -5.5789 3.8456 -2.6581
Ag -4.2826 3.2150 -4.9296
Ag -6.0094 1.4656 -3.8363
Pb -7.3226 3.9338 -5.2709
Ru 0.0000 0.0000 0.0000
```

Results
Spin magnetization (μB per formula unit): 0.91
Energy relative to the elements (kJ/mol of formula units): 319.8


The following is a GGA-PBEsol calculation of a geometry-optimized SiNi2Ir structure, from Alexandria.

```
4
Lattice="2.6997 0.0000 0.0000 0.0000 3.6962 0.0000 -1.3499 0.0000 4.7117" Properties=species:S:1:pos:R:3 pbc="T T T"
Ir 1.3499 1.8481 0.7243
Ni 1.3499 0.0000 3.9261
Ni 0.0000 1.8481 2.9741
Si 0.0000 0.0000 1.6813
```

Results
Spin magnetization (μB per formula unit): 0.00
Energy relative to the elements, uncorrected (eV per atom): -0.345


The following is a GGA-PBEsol calculation of a geometry-optimized InGaN2 structure, from Alexandria.

```
4
Lattice="-0.8602 1.2593 2.9870 -2.2875 -0.2384 -2.4410 -1.3335 -5.0432 1.7422" Properties=species:S:1:pos:R:3 pbc="T T T"
In -0.0038 -0.0145 0.0050
Ga -2.4841 -2.2823 0.2469
N -2.9501 -4.0447 0.8557
N -0.5301 -2.0048 0.6926
```

Results
Spin magnetization (μB per formula unit): 0.00
Energy relative to the elements, uncorrected (eV per atom): -0.257


The following is a GGA-PBEsol calculation of a geometry-optimized CrP2Au structure, from Alexandria.

```
4
Lattice="2.8901 0.0000 0.0000 1.4451 2.5029 0.0000 1.4451 0.8343 7.8121" Properties=species:S:1:pos:R:3 pbc="T T T"
Au 2.8901 1.6686 3.9060
Cr 0.0000 0.0000 0.0000
P 1.4451 0.8343 1.5727
P 4.3352 2.5029 6.2394
```

Results
Spin magnetization (μB per formula unit): 0.00
Energy relative to the elements (kJ/mol of formula units): -22.1
Excess energy over the best structure of this formula in the dataset (eV/atom): 0.000


The following is a GGA-PBEsol calculation of a geometry-optimized MgMoRh structure, from Alexandria.

```
3
Lattice="-2.5942 0.8444 -0.3067 0.1992 -0.9341 -4.2571 -1.3239 -3.0360 2.8399" Properties=species:S:1:pos:R:3 pbc="T T T"
Mg -0.0613 0.0200 -0.0073
Mo -2.4078 -1.8173 0.2861
Rh -1.2497 -1.3284 -2.0027
```

Results
Spin magnetization (μB per formula unit): 0.00
Energy relative to the elements (kJ/mol of formula units): 15.9
Excess energy over the best structure of this formula in the dataset (eV/atom): 0.000


The following is a GGA-PBEsol calculation of a geometry-optimized InSbSe3 structure, from Alexandria.

```
5
Lattice="-3.2342 -2.1069 -3.3779 -2.0965 -2.7984 3.7527 -3.3843 3.7469 0.9033" Properties=species:S:1:pos:R:3 pbc="T T T"
Sb -4.3575 -0.5792 0.6391
Se -1.0482 -1.3992 1.8763
Se -1.6922 1.8734 0.4517
Se -1.6171 -1.0534 -1.6889
In 0.0000 0.0000 0.0000
```

Results
Spin magnetization (μB per formula unit): 0.00
Energy relative to the elements, uncorrected (eV per atom): 0.374


The following is a GGA-PBEsol calculation of a geometry-optimized SrGeSb2I structure, from Alexandria.

```
5
Lattice="5.8702 0.0000 0.0000 0.0000 5.9848 0.0000 0.0000 0.0000 5.9848" Properties=species:S:1:pos:R:3 pbc="T T T"
I 2.9351 0.0000 0.0000
Sb 0.0000 0.0000 2.9924
Sb 0.0000 2.9924 0.0000
Ge 2.9351 2.9924 2.9924
Sr 0.0000 0.0000 0.0000
```

Results
Spin magnetization (μB per formula unit): 0.01
Energy relative to the elements, uncorrected (eV per atom): 0.761


The following is a GGA-PBEsol calculation of a geometry-optimized Zn3Cu3Te2O12 structure, from Alexandria.

```
40
Lattice="-0.5751 4.9567 -6.6390 4.0566 -6.9443 -2.0729 -7.6196 -1.9388 2.6757" Properties=species:S:1:pos:R:3 pbc="T T T"
Zn -2.4610 2.9217 -4.2892
Zn 0.1044 -2.4066 -2.0484
Zn 1.2595 -5.7625 -1.1909
Zn -3.0817 -4.1144 -2.5623
Zn -6.7497 -0.0631 -2.6830
Zn -1.4857 -2.3544 -5.3349
Cu -1.6874 -6.8738 -1.7452
Cu -4.2322 -1.4941 -3.9896
Cu -5.3875 1.8304 -4.8706
Cu -1.0664 0.1937 -3.4487
Cu 2.6354 -3.8721 -3.3417
Cu -2.6761 -1.5633 -0.7128
Te -5.8458 -2.9013 -1.6321
Te -0.0046 0.0395 -0.0530
Te -1.8423 -4.4570 0.3227
Te -4.0650 1.4535 -1.9982
O -0.1193 -1.4806 -4.1306
O -7.1937 1.3629 -4.0433
O -1.0622 1.3249 -5.1475
O -0.4761 -4.1033 -5.3900
O -1.5285 -3.1919 -1.1552
O 2.3272 -2.7227 -4.9998
O -2.1595 4.1974 -5.8263
O 0.7042 -4.1968 -2.7667
O -3.3483 -3.2902 -4.3873
O -0.5954 -5.8054 -0.3919
O 1.5299 -0.1867 -6.1028
O -1.8057 -5.5148 -3.2632
O -3.9711 -2.3930 -1.8603
O 3.0553 -5.2239 -2.0462
O -3.1489 -5.2897 -0.8708
O -3.6365 0.0970 -0.6561
O -2.6784 -0.7500 -4.8346
O -6.4427 -1.1618 -0.9667
O -1.9692 -8.0864 -0.2850
O -4.8053 0.2065 -3.3104
O -0.8158 -0.5927 -1.7165
O -3.6257 1.8757 -5.6295
O -5.6160 -3.7187 0.1298
O -2.2752 1.5272 -2.7833
```

Results
Spin magnetization (μB per formula unit): 3.04
Energy relative to the elements, uncorrected (eV per atom): -0.981


The following is a GGA-PBEsol calculation of a geometry-optimized Tl2AgAs structure, from Alexandria.

```
4
Lattice="-1.7514 -3.3280 2.7070 3.9446 2.9030 2.1553 -4.1494 2.0564 -0.1564" Properties=species:S:1:pos:R:3 pbc="T T T"
Tl -0.3786 -0.5305 3.0688
Tl -1.5776 2.1618 1.6371
As 0.0000 0.0000 0.0000
Ag -2.9504 -0.6358 1.2753
```

Results
Spin magnetization (μB per formula unit): 0.00
Energy relative to the elements (kJ/mol of formula units): 80.7
Excess energy over the best structure of this formula in the dataset (eV/atom): 0.162


The following is a GGA-PBEsol calculation of a geometry-optimized Ba4C3 structure, from Alexandria.

```
7
Lattice="3.8353 0.0000 0.0000 0.0000 3.8353 0.0000 -1.9176 -1.9176 12.3985" Properties=species:S:1:pos:R:3 pbc="T T T"
Ba 0.0000 0.0000 4.7234
Ba 1.9176 1.9176 7.6751
Ba 0.0000 0.0000 10.8302
Ba 1.9176 1.9176 1.5684
C 0.0000 0.0000 0.0000
C 0.0000 0.0000 7.8956
C 1.9176 1.9176 4.5029
```

Results
Spin magnetization (μB per formula unit): 0.75
Energy relative to the elements (kJ/mol of formula units): 732.4
Excess energy over the best structure of this formula in the dataset (eV/atom): 0.000


The following is a GGA-PBEsol calculation of a geometry-optimized Ca3MgBr structure, from Alexandria.

```
5
Lattice="5.5640 0.0000 0.0000 0.0000 5.5640 0.0000 0.0000 0.0000 5.5640" Properties=species:S:1:pos:R:3 pbc="T T T"
Ca 0.0000 2.7820 0.0000
Ca 0.0000 0.0000 2.7820
Ca 2.7820 0.0000 0.0000
Mg 2.7820 2.7820 2.7820
Br 0.0000 0.0000 0.0000
```

Results
Spin magnetization (μB per formula unit): 0.00
Energy relative to the elements, uncorrected (eV per atom): -0.352


The following is a GGA-PBEsol calculation of a geometry-optimized Mg4SbP structure, from Alexandria.

```
6
Lattice="5.6497 0.0000 0.0000 2.8248 4.8928 0.0000 2.8248 1.6309 4.6130" Properties=species:S:1:pos:R:3 pbc="T T T"
Mg 4.2421 2.4492 1.7318
Mg 5.6497 3.2619 4.0304
Mg 7.0573 2.4492 1.7318
Mg 5.6497 4.8872 1.7318
P 8.4745 4.8928 3.4597
Sb 0.0000 0.0000 0.0000
```

Results
Spin magnetization (μB per formula unit): 0.00
Energy relative to the elements, uncorrected (eV per atom): 0.166


The following is a GGA-PBEsol calculation of a geometry-optimized Ni2AgOs structure, from Alexandria.

```
4
Lattice="-0.7065 -1.9622 -1.5339 1.9773 -0.4873 1.5984 -5.5840 -2.7371 6.0733" Properties=species:S:1:pos:R:3 pbc="T T T"
Ag -0.6816 -1.8703 1.4647
Ni -5.4753 -2.6838 5.9550
Ni -3.6049 -3.3032 4.6441
Os -2.9274 -1.4349 3.1839
```

Results
Spin magnetization (μB per formula unit): 0.04
Energy relative to the elements (kJ/mol of formula units): 170.8
Excess energy over the best structure of this formula in the dataset (eV/atom): 0.056


The following is a GGA-PBEsol calculation of a geometry-optimized InSiTe structure, from Alexandria.

```
3
Lattice="-1.8001 -3.2991 1.2166 3.7368 -0.1433 -1.2728 1.7585 0.9069 5.0609" Properties=species:S:1:pos:R:3 pbc="T T T"
Si 3.0584 -0.5933 2.9162
Te 0.6883 -1.9157 2.2366
In 1.7071 0.8803 4.9128
```

Results
Spin magnetization (μB per formula unit): 0.00
Energy relative to the elements, uncorrected (eV per atom): 0.138
Excess energy over the best structure of this formula in the dataset (eV/atom): 0.000